(1)
Compound: Ca2La3Si3O13
Source: the Alexandria database
Functional: PBE
Structure: optimized geometry

raw formation energy = -65.47 eV per formula unit
E_tot = -7.8565 eV/atom
DOS at the Fermi energy = 0.74 states/eV per atom
size of the total moment = 1.791 Bohr magnetons per cell

The structure in CIF format:
```
data_Ca2La3Si3O13
_chemical_formula_sum 'Ca4 La6 Si6 O26'
_cell_length_a 9.7371
_cell_length_b 9.7371
_cell_length_c 7.1186
_cell_angle_alpha 90.00
_cell_angle_beta 90.00
_cell_angle_gamma 120.00
_symmetry_space_group_name_H-M 'P 63/m'
_symmetry_Int_Tables_number 176
_symmetry_space_group_name_Hall '-P 6c'
loop_
_atom_site_label
_atom_site_type_symbol
_atom_site_fract_x
_atom_site_fract_y
_atom_site_fract_z
_atom_site_occupancy
Ca1 Ca 0.3333 0.6667 0.0036 1
La1 La 0.0104 0.7607 0.2500 1
Si1 Si 0.0281 0.6264 0.7500 1
O1 O 0.0000 0.0000 0.2500 1
O2 O 0.0862 0.7487 0.5684 1
O3 O 0.1282 0.5321 0.7500 1
O4 O 0.1639 0.4900 0.2500 1
```

=====

(2)
Compound: Ca2LaSiO
Source: the Alexandria database
Functional: PBE
Structure: optimized geometry

raw formation energy = -6.87 eV per formula unit
E_tot = -5.2371 eV/atom
DOS at the Fermi energy = 0.60 states/eV per atom
size of the total moment = 0.000 Bohr magnetons per cell

The structure in CIF format:
```
data_Ca2LaSiO
_chemical_formula_sum 'Ca2 La1 Si1 O1'
_cell_length_a 4.728
_cell_length_b 4.728
_cell_length_c 4.989
_cell_angle_alpha 90.00
_cell_angle_beta 90.00
_cell_angle_gamma 90.00
_symmetry_space_group_name_H-M 'P 4/m m m'
_symmetry_Int_Tables_number 123
_symmetry_space_group_name_Hall '-P 4 2'
loop_
_atom_site_label
_atom_site_type_symbol
_atom_site_fract_x
_atom_site_fract_y
_atom_site_fract_z
_atom_site_occupancy
Ca1 Ca 0.000 0.500 0.000 1
La1 La 0.000 0.000 0.500 1
Si1 Si 0.500 0.500 0.500 1
O1 O 0.000 0.000 0.000 1
```

=====

(3)
Compound: Ca2LaSnO
Source: the Alexandria database
Functional: PBE
Structure: optimized geometry

raw formation energy = -7.66 eV per formula unit
E_tot = -5.1112 eV/atom
DOS at the Fermi energy = 0.66 states/eV per atom
size of the total moment = 0.000 Bohr magnetons per cell

The structure in CIF format:
```
data_Ca2LaSnO
_chemical_formula_sum 'Ca2 La1 Sn1 O1'
_cell_length_a 4.889
_cell_length_b 4.889
_cell_length_c 5.042
_cell_angle_alpha 90.00
_cell_angle_beta 90.00
_cell_angle_gamma 90.00
_symmetry_space_group_name_H-M 'P 4/m m m'
_symmetry_Int_Tables_number 123
_symmetry_space_group_name_Hall '-P 4 2'
loop_
_atom_site_label
_atom_site_type_symbol
_atom_site_fract_x
_atom_site_fract_y
_atom_site_fract_z
_atom_site_occupancy
Ca1 Ca 0.000 0.500 0.000 1
La1 La 0.000 0.000 0.500 1
Sn1 Sn 0.500 0.500 0.500 1
O1 O 0.000 0.000 0.000 1
```

=====

(4)
Compound: Ca2La4Sn3O2
Source: the Alexandria database
Functional: PBE
Structure: optimized geometry

raw formation energy = -16.32 eV per formula unit
E_tot = -5.6325 eV/atom
DOS at the Fermi energy = 0.33 states/eV per atom
size of the total moment = 0.000 Bohr magnetons per cell

The structure in CIF format:
```
data_Ca2La4Sn3O2
_chemical_formula_sum 'Ca4 La8 Sn6 O4'
_cell_length_a 4.972
_cell_length_b 4.972
_cell_length_c 25.726
_cell_angle_alpha 90.00
_cell_angle_beta 90.00
_cell_angle_gamma 90.00
_symmetry_space_group_name_H-M 'I 4/m m m'
_symmetry_Int_Tables_number 139
_symmetry_space_group_name_Hall '-I 4 2'
loop_
_atom_site_label
_atom_site_type_symbol
_atom_site_fract_x
_atom_site_fract_y
_atom_site_fract_z
_atom_site_occupancy
Ca1 Ca 0.000 0.000 0.199 1
La1 La 0.000 0.500 0.089 1
Sn1 Sn 0.000 0.000 0.324 1
Sn2 Sn 0.000 0.000 0.500 1
O1 O 0.000 0.000 0.103 1
```

=====

(5)
Compound: SrCaLa2O
Source: the Alexandria database
Functional: PBE
Structure: optimized geometry

raw formation energy = -4.91 eV per formula unit
E_tot = -4.6812 eV/atom
energy above the most stable polymorph in this dataset = 0 meV per atom
DOS at the Fermi energy = 0.95 states/eV per atom
size of the total moment = 0.000 Bohr magnetons per cell

The structure in CIF format:
```
data_SrCaLa2O
_chemical_formula_sum 'Sr1 Ca1 La2 O1'
_cell_length_a 5.131
_cell_length_b 5.131
_cell_length_c 5.845
_cell_angle_alpha 90.00
_cell_angle_beta 90.00
_cell_angle_gamma 90.00
_symmetry_space_group_name_H-M 'P 4/m m m'
_symmetry_Int_Tables_number 123
_symmetry_space_group_name_Hall '-P 4 2'
loop_
_atom_site_label
_atom_site_type_symbol
_atom_site_fract_x
_atom_site_fract_y
_atom_site_fract_z
_atom_site_occupancy
Sr1 Sr 0.000 0.000 0.000 1
Ca1 Ca 0.500 0.500 0.000 1
La1 La 0.000 0.500 0.500 1
O1 O 0.000 0.000 0.500 1
```

=====

(6)
Compound: Sr2CaLaO4
Source: the Alexandria database
Functional: PBE
Structure: optimized geometry

raw formation energy = -22.06 eV per formula unit
E_tot = -6.5229 eV/atom
DOS at the Fermi energy = 0.38 states/eV per atom
size of the total moment = 0.000 Bohr magnetons per cell

The structure in CIF format:
```
data_Sr2CaLaO4
_chemical_formula_sum 'Sr2 Ca1 La1 O4'
_cell_length_a 6.235
_cell_length_b 3.614
_cell_length_c 6.258
_cell_angle_alpha 90.00
_cell_angle_beta 109.15
_cell_angle_gamma 90.00
_symmetry_space_group_name_H-M 'P 1 2/m 1'
_symmetry_Int_Tables_number 10
_symmetry_space_group_name_Hall '-P 2y'
loop_
_atom_site_label
_atom_site_type_symbol
_atom_site_fract_x
_atom_site_fract_y
_atom_site_fract_z
_atom_site_occupancy
Sr1 Sr 0.000 0.000 0.000 1
Sr2 Sr 0.500 0.500 0.000 1
Ca1 Ca 0.000 0.500 0.500 1
La1 La 0.500 0.000 0.500 1
O1 O 0.243 0.000 0.733 1
O2 O 0.249 0.500 0.263 1
```

=====

(7)
Compound: SrCaLa2O
Source: the Alexandria database
Functional: PBE
Structure: optimized geometry

raw formation energy = -4.50 eV per formula unit
E_tot = -4.5991 eV/atom
energy above the most stable polymorph in this dataset = 82 meV per atom
DOS at the Fermi energy = 1.29 states/eV per atom
size of the total moment = 0.000 Bohr magnetons per cell

The structure in CIF format:
```
data_SrCaLa2O
_chemical_formula_sum 'Sr1 Ca1 La2 O1'
_cell_length_a 5.165
_cell_length_b 5.165
_cell_length_c 5.792
_cell_angle_alpha 90.00
_cell_angle_beta 90.00
_cell_angle_gamma 90.00
_symmetry_space_group_name_H-M 'P 4/m m m'
_symmetry_Int_Tables_number 123
_symmetry_space_group_name_Hall '-P 4 2'
loop_
_atom_site_label
_atom_site_type_symbol
_atom_site_fract_x
_atom_site_fract_y
_atom_site_fract_z
_atom_site_occupancy
Sr1 Sr 0.000 0.000 0.000 1
Ca1 Ca 0.500 0.500 0.000 1
La1 La 0.000 0.500 0.500 1
O1 O 0.500 0.500 0.500 1
```

=====

(8)
Compound: CaLaTc2O8
Source: the Alexandria database
Functional: PBE
Structure: optimized geometry

raw formation energy = -25.61 eV per formula unit
E_tot = -7.7450 eV/atom
DOS at the Fermi energy = 0.41 states/eV per atom
size of the total moment = 6.021 Bohr magnetons per cell

The structure in CIF format:
```
data_CaLaTc2O8
_chemical_formula_sum 'Ca2 La2 Tc4 O16'
_cell_length_a 5.340
_cell_length_b 5.340
_cell_length_c 11.765
_cell_angle_alpha 90.00
_cell_angle_beta 90.00
_cell_angle_gamma 90.00
_symmetry_space_group_name_H-M 'I -4'
_symmetry_Int_Tables_number 82
_symmetry_space_group_name_Hall 'I -4'
loop_
_atom_site_label
_atom_site_type_symbol
_atom_site_fract_x
_atom_site_fract_y
_atom_site_fract_z
_atom_site_occupancy
Ca1 Ca 0.000 0.000 0.000 1
La1 La 0.000 0.500 0.250 1
Tc1 Tc 0.000 0.000 0.500 1
Tc2 Tc 0.000 0.500 0.750 1
O1 O 0.149 0.752 0.831 1
O2 O 0.153 0.248 0.420 1
```

=====

(9)
Compound: CaLa2TcO8
Source: the Alexandria database
Functional: PBE
Structure: optimized geometry

raw formation energy = -27.46 eV per formula unit
E_tot = -7.4459 eV/atom
DOS at the Fermi energy = 0.16 states/eV per atom
size of the total moment = 0.000 Bohr magnetons per cell

The structure in CIF format:
```
data_CaLa2TcO8
_chemical_formula_sum 'Ca1 La2 Tc1 O8'
_cell_length_a 4.642
_cell_length_b 5.451
_cell_length_c 7.178
_cell_angle_alpha 92.11
_cell_angle_beta 92.80
_cell_angle_gamma 90.18
_symmetry_space_group_name_H-M 'P -1'
_symmetry_Int_Tables_number 2
_symmetry_space_group_name_Hall '-P 1'
loop_
_atom_site_label
_atom_site_type_symbol
_atom_site_fract_x
_atom_site_fract_y
_atom_site_fract_z
_atom_site_occupancy
Ca1 Ca 0.000 0.000 0.000 1
La1 La 0.439 0.467 0.756 1
Tc1 Tc 0.000 0.000 0.500 1
O1 O 0.076 0.738 0.314 1
O2 O 0.093 0.800 0.699 1
O3 O 0.385 0.269 0.012 1
O4 O 0.403 0.109 0.498 1
```

=====

(10)
Compound: CaLaTiO4
Source: the Alexandria database
Functional: PBE
Structure: optimized geometry

raw formation energy = -21.59 eV per formula unit
E_tot = -8.0346 eV/atom
DOS at the Fermi energy = 0.41 states/eV per atom
size of the total moment = 1.774 Bohr magnetons per cell

The structure in CIF format:
```
data_CaLaTiO4
_chemical_formula_sum 'Ca2 La2 Ti2 O8'
_cell_length_a 3.913
_cell_length_b 3.913
_cell_length_c 12.324
_cell_angle_alpha 90.00
_cell_angle_beta 90.00
_cell_angle_gamma 90.00
_symmetry_space_group_name_H-M 'I 4 m m'
_symmetry_Int_Tables_number 107
_symmetry_space_group_name_Hall 'I 4 -2'
loop_
_atom_site_label
_atom_site_type_symbol
_atom_site_fract_x
_atom_site_fract_y
_atom_site_fract_z
_atom_site_occupancy
Ca1 Ca 0.000 0.000 0.000 1
La1 La 0.000 0.000 0.288 1
Ti1 Ti 0.000 0.000 0.639 1
O1 O 0.000 0.000 0.471 1
O2 O 0.000 0.000 0.815 1
O3 O 0.000 0.500 0.142 1
```

=====

What did the eighth record say?
Compound: CaLaTc2O8
Source: the Alexandria database
Functional: PBE
Structure: optimized geometry

raw formation energy = -25.61 eV per formula unit
E_tot = -7.7450 eV/atom
DOS at the Fermi energy = 0.41 states/eV per atom
size of the total moment = 6.021 Bohr magnetons per cell

The structure in CIF format:
```
data_CaLaTc2O8
_chemical_formula_sum 'Ca2 La2 Tc4 O16'
_cell_length_a 5.340
_cell_length_b 5.340
_cell_length_c 11.765
_cell_angle_alpha 90.00
_cell_angle_beta 90.00
_cell_angle_gamma 90.00
_symmetry_space_group_name_H-M 'I -4'
_symmetry_Int_Tables_number 82
_symmetry_space_group_name_Hall 'I -4'
loop_
_atom_site_label
_atom_site_type_symbol
_atom_site_fract_x
_atom_site_fract_y
_atom_site_fract_z
_atom_site_occupancy
Ca1 Ca 0.000 0.000 0.000 1
La1 La 0.000 0.500 0.250 1
Tc1 Tc 0.000 0.000 0.500 1
Tc2 Tc 0.000 0.500 0.750 1
O1 O 0.149 0.752 0.831 1
O2 O 0.153 0.248 0.420 1
```

=====

What is the formula in the second record?
Ca2LaSiO

=====

What did the first record say?
Compound: Ca2La3Si3O13
Source: the Alexandria database
Functional: PBE
Structure: optimized geometry

raw formation energy = -65.47 eV per formula unit
E_tot = -7.8565 eV/atom
DOS at the Fermi energy = 0.74 states/eV per atom
size of the total moment = 1.791 Bohr magnetons per cell

The structure in CIF format:
```
data_Ca2La3Si3O13
_chemical_formula_sum 'Ca4 La6 Si6 O26'
_cell_length_a 9.7371
_cell_length_b 9.7371
_cell_length_c 7.1186
_cell_angle_alpha 90.00
_cell_angle_beta 90.00
_cell_angle_gamma 120.00
_symmetry_space_group_name_H-M 'P 63/m'
_symmetry_Int_Tables_number 176
_symmetry_space_group_name_Hall '-P 6c'
loop_
_atom_site_label
_atom_site_type_symbol
_atom_site_fract_x
_atom_site_fract_y
_atom_site_fract_z
_atom_site_occupancy
Ca1 Ca 0.3333 0.6667 0.0036 1
La1 La 0.0104 0.7607 0.2500 1
Si1 Si 0.0281 0.6264 0.7500 1
O1 O 0.0000 0.0000 0.2500 1
O2 O 0.0862 0.7487 0.5684 1
O3 O 0.1282 0.5321 0.7500 1
O4 O 0.1639 0.4900 0.2500 1
```

=====

The lowest E_tot belongs to which entry?
CaLaTiO4